VASP calculation (SCAN) on a crystal of TiMn3Te relaxed with PBEsol.

Cell: 4.4697 4.4697 4.4697 Å, 90.00 90.00 90.00°
Each line ends with the local moment (μB).
Element x y z (fractional)
Mn: 0.0000 0.5000 0.0000  3.33
Te: 0.5000 0.5000 0.5000  -0.01
Ti: 0.0000 0.0000 0.0000  -1.49
Mn: 0.0000 0.0000 0.5000  3.33
Mn: 0.5000 0.0000 0.0000  3.33


VASP calculation (SCAN) on a crystal of Mn2TlTe relaxed with PBEsol.

Cell: 3.1089 3.1089 7.8733 Å, 90.00 90.00 90.00°
Each line ends with the local moment (μB).
Element x y z (fractional)
Tl: 0.5000 0.5000 0.8122  -0.04
Mn: 0.0000 0.0000 0.0535  3.75
Mn: 0.5000 0.5000 0.2260  0.07
Te: 0.0000 0.0000 0.4084  0.06


| no. | uncorrected formation energy (eV/atom) | calculated total energy (eV per formula unit) |
| --- | --- | --- |
| 1 | 0.76 | -104.3 |
| 2 | 0.17 | -145.4 |